# 1
An optimized crystal structure of Er3Ge4Ir2, computed with PBE-GGA.

a = 4.463 Å, b = 5.695 Å, c = 8.115 Å
α = 108.39°, β = 90.00°, γ = 113.07°
Fractional coordinates of all 9 atoms:
Ge 0.047 0.094 0.380
Ge 0.687 0.375 0.025
Er 0.320 0.640 0.357
Ge 0.953 0.906 0.620
Ge 0.313 0.625 0.975
Ir 0.567 0.134 0.251
Er 0.680 0.360 0.643
Ir 0.433 0.866 0.749
Er 0.000 0.000 0.000

For the energy above the most stable polymorph in this dataset, the calculation gives 0.016 eV/atom. Its magnetic moment is 0.00 μB/atom. The symmetry is No. 12. The formation energy is -0.804 eV/atom. The calculation puts the total energy at -6.35 eV per atom.

# 2
An optimized crystal structure of Er4GeIr, computed with PBE-GGA.

a = 6.759 Å, b = 6.758 Å, c = 8.455 Å
α = 113.57°, β = 113.56°, γ = 89.96°
Fractional coordinates of all 12 atoms:
Er 0.883 0.356 0.739
Ir 0.500 0.500 0.500
Er 0.356 0.883 0.739
Ge 0.250 0.750 0.000
Ge 0.750 0.250 0.000
Er 0.617 0.617 0.262
Er 0.856 0.856 0.739
Er 0.644 0.117 0.261
Er 0.117 0.644 0.261
Ir 0.000 0.000 0.500
Er 0.144 0.144 0.261
Er 0.383 0.383 0.738

Its magnetic moment is 0.00 μB/atom. The symmetry is No. 140. The formation energy is -0.627 eV/atom. The calculation puts the total energy at -5.92 eV per atom.

# 3
An optimized crystal structure of ErGe12Ir4, computed with PBE-GGA.

a = 7.513 Å, b = 7.513 Å, c = 7.513 Å
α = 109.47°, β = 109.47°, γ = 109.47°
Fractional coordinates of all 17 atoms:
Ge 0.848 0.653 0.501
Ge 0.195 0.848 0.347
Ge 0.653 0.501 0.848
Ge 0.848 0.347 0.195
Ir 0.000 0.000 0.500
Ir 0.000 0.500 0.000
Ge 0.347 0.499 0.152
Ge 0.805 0.152 0.653
Ge 0.499 0.152 0.347
Ge 0.152 0.653 0.805
Ge 0.501 0.848 0.653
Er 0.000 0.000 0.000
Ir 0.500 0.000 0.000
Ge 0.152 0.347 0.499
Ge 0.347 0.195 0.848
Ge 0.653 0.805 0.152
Ir 0.500 0.500 0.500

Its magnetic moment is 0.00 μB/atom. The symmetry is No. 204. The formation energy is -0.188 eV/atom. The calculation puts the total energy at -5.80 eV per atom.

Calculated values (g cm⁻³) of ρ for the records, taken in order: 11.0 9.7 9.2.